Entry 1:
# GGA-PBE FePt2W, relaxed
data_FePt2W
_symmetry_space_group_name_H-M 'C 1 2/m 1'
_symmetry_Int_Tables_number 12
_cell_length_a 9.1390
_cell_length_b 2.7783
_cell_length_c 4.7402
_cell_angle_alpha 90.00
_cell_angle_beta 100.43
_cell_angle_gamma 90.00
loop_
_symmetry_equiv_pos_as_xyz
'x,y,z'
'-x,-y,-z'
'-x,y,-z'
'x,-y,z'
'x+1/2,y+1/2,z'
'-x+1/2,-y+1/2,-z'
'-x+1/2,y+1/2,-z'
'x+1/2,-y+1/2,z'
loop_
_atom_site_label
_atom_site_type_symbol
_atom_site_fract_x
_atom_site_fract_y
_atom_site_fract_z
_atom_site_occupancy
Fe1 Fe 0.0000 0.0000 0.0000 1
Pt1 Pt 0.2481 0.5000 0.2480 1
W1 W 0.0000 0.5000 0.5000 1
# Fermi-level density of states, states/eV/f.u.: 3.83
# Calculated formation energy, eV per atom: -0.085

***

Entry 2:
# GGA-PBE FePtW2, relaxed
data_FePtW2
_symmetry_space_group_name_H-M 'R 3 m'
_symmetry_Int_Tables_number 160
_symmetry_space_group_name_Hall 'R 3 -2"'
_cell_length_a 2.7650
_cell_length_b 2.7650
_cell_length_c 27.5723
_cell_angle_alpha 90.00
_cell_angle_beta 90.00
_cell_angle_gamma 120.00
loop_
_atom_site_label
_atom_site_type_symbol
_atom_site_fract_x
_atom_site_fract_y
_atom_site_fract_z
_atom_site_occupancy
Fe1 Fe 0.0000 0.0000 0.0000 1
Pt1 Pt 0.0000 0.0000 0.2549 1
W1 W 0.0000 0.0000 0.5038 1
W2 W 0.0000 0.0000 0.7476 1
# Fermi-level density of states, states/eV/f.u.: 4.44
# Calculated formation energy, eV per atom: 0.171

***

Entry 3:
# GGA-PBE FePtW, relaxed
data_FePtW
_symmetry_space_group_name_H-M 'F -4 3 m'
_symmetry_Int_Tables_number 216
_symmetry_space_group_name_Hall 'F -4 2 3'
_cell_length_a 5.8467
_cell_length_b 5.8467
_cell_length_c 5.8467
_cell_angle_alpha 90.00
_cell_angle_beta 90.00
_cell_angle_gamma 90.00
loop_
_atom_site_label
_atom_site_type_symbol
_atom_site_fract_x
_atom_site_fract_y
_atom_site_fract_z
_atom_site_occupancy
Fe1 Fe 0.0000 0.0000 0.0000 1
Pt1 Pt 0.0000 0.0000 0.5000 1
W1 W 0.2500 0.2500 0.7500 1
# Fermi-level density of states, states/eV/f.u.: 1.26
# Calculated formation energy, eV per atom: 0.422

***

Entry 4:
# GGA-PBE FePt2W, relaxed
data_FePt2W
_symmetry_space_group_name_H-M 'P 1 2/m 1'
_symmetry_Int_Tables_number 10
_cell_length_a 2.7379
_cell_length_b 3.9902
_cell_length_c 5.4082
_cell_angle_alpha 90.00
_cell_angle_beta 90.08
_cell_angle_gamma 90.00
loop_
_symmetry_equiv_pos_as_xyz
'x,y,z'
'-x,-y,-z'
'-x,y,-z'
'x,-y,z'
loop_
_atom_site_label
_atom_site_type_symbol
_atom_site_fract_x
_atom_site_fract_y
_atom_site_fract_z
_atom_site_occupancy
Fe1 Fe 0.0000 0.0000 0.0000 1
Pt1 Pt 0.4999 0.5000 0.2480 1
W1 W 0.0000 0.0000 0.5000 1
# Fermi-level density of states, states/eV/f.u.: 3.27
# Calculated formation energy, eV per atom: -0.217